Record 1
First-principles (PBE-GGA) data for crystalline Nb2CoIr9 at its relaxed geometry, as listed in Alexandria via LeMat-Bulk.

Total magnetic moment in Bohr magnetons per cell: 2.6
ΔE_f in eV per formula unit: -4.34
Final energy in eV per cell: -111.34

Cell and atoms, written as POSCAR:
```
Nb2CoIr9
1.0
3.897 0.000 0.000
0.000 3.897 0.000
0.000 0.000 11.658
Ir Nb Co
9 2 1
Cartesian
1.949 0.000 5.829
1.949 1.949 7.794
1.949 1.949 0.000
1.949 0.000 1.887
1.949 1.949 3.864
0.000 1.949 5.829
0.000 1.949 1.887
1.949 0.000 9.771
0.000 1.949 9.771
0.000 0.000 3.828
0.000 0.000 7.830
0.000 0.000 0.000
```


Record 2
First-principles (PBE-GGA) data for crystalline NbCoIr3 at its relaxed geometry, as listed in Alexandria via LeMat-Bulk.

Total magnetic moment in Bohr magnetons per cell: 2.6
ΔE_f in eV per formula unit: 9.18
Final energy in eV per cell: -34.58

Cell and atoms, written as POSCAR:
```
NbCoIr3
1.0
4.747 0.000 0.000
0.000 4.747 0.000
0.000 0.000 4.747
Nb Co Ir
1 1 3
Cartesian
0.000 0.000 0.000
2.374 2.374 2.374
0.000 2.374 0.000
0.000 0.000 2.374
2.374 0.000 0.000
```


Record 3
First-principles (PBE-GGA) data for crystalline Nb11Co4Ir9 at its relaxed geometry, as listed in Alexandria via LeMat-Bulk.

Total magnetic moment in Bohr magnetons per cell: 0.0
ΔE_f in eV per formula unit: -10.10
Final energy in eV per cell: -229.04

Cell and atoms, written as POSCAR:
```
Nb11Co4Ir9
1.0
-2.344 0.239 -1.820
7.148 -1.068 -9.346
-4.470 -9.993 4.443
Ir Co Nb
9 4 11
Cartesian
2.011 -8.823 -6.185
-2.179 -8.687 -0.771
3.114 -4.621 -7.053
2.512 -2.135 -5.952
0.294 -10.141 -4.147
0.167 -5.411 -3.361
0.039 -0.681 -2.576
-2.780 -6.201 0.330
-1.677 -1.999 -0.538
-1.363 -4.546 -1.277
1.697 -6.276 -5.445
-0.530 -7.987 -2.802
0.864 -2.835 -3.920
-0.122 -6.653 -0.717
2.616 -0.905 -3.487
5.157 -2.597 -6.983
0.792 -3.270 -1.449
4.104 -7.052 -6.212
-1.426 -4.009 1.309
1.886 -7.791 -3.453
0.000 0.000 0.000
0.062 -10.157 -1.415
-2.479 -8.464 2.081
2.800 -4.408 -4.186
```